DFT (PBE) results for Sc2ReAs after structural relaxation.

Lattice parameters (Å, degrees): 3.008 4.563 5.573 90.00 90.00 90.00
Element x y z (fractional)
Sc  0.000  0.000  0.000
Sc  0.500  0.500  0.343
Re  0.500  0.500  0.874
As  0.000  0.000  0.504

Calculated values
formation enthalpy at 0 K = -0.11 eV per atom

=====

DFT (PBE) results for ScReAsSe2 after structural relaxation.

Lattice parameters (Å, degrees): 5.034 5.034 4.679 90.00 90.00 90.00
Element x y z (fractional)
Sc  0.000  0.000  0.000
Re  0.500  0.500  0.500
As  0.500  0.500  0.000
Se  0.000  0.500  0.500
Se  0.500  0.000  0.500

Calculated values
formation energy from raw total energies = 0.27 eV/atom
relative energy among the computed polymorphs = 0 meV per atom

=====

DFT (PBE) results for ScReAsSe2 after structural relaxation.

Lattice parameters (Å, degrees): 5.024 5.024 5.208 90.00 90.00 90.00
Element x y z (fractional)
Sc  0.000  0.000  0.000
Re  0.500  0.500  0.500
As  0.000  0.000  0.500
Se  0.000  0.500  0.000
Se  0.500  0.000  0.000

Calculated values
formation energy from raw total energies = 0.86 eV/atom
relative energy among the computed polymorphs = 591 meV per atom

=====

DFT (PBE) results for ScReAsSe2 after structural relaxation.

Lattice parameters (Å, degrees): 4.961 4.961 5.345 90.00 90.00 90.00
Element x y z (fractional)
Sc  0.000  0.000  0.000
Re  0.000  0.000  0.500
As  0.500  0.500  0.500
Se  0.000  0.500  0.000
Se  0.500  0.000  0.000

Calculated values
formation energy from raw total energies = 1.03 eV/atom
relative energy among the computed polymorphs = 761 meV per atom

=====

DFT (PBE) results for Sc2TaReAs after structural relaxation.

Lattice parameters (Å, degrees): 5.146 5.146 4.651 90.00 90.00 90.00
Element x y z (fractional)
Sc  0.000  0.500  0.000
Sc  0.500  0.000  0.000
Ta  0.000  0.000  0.000
Re  0.000  0.000  0.500
As  0.500  0.500  0.500

Calculated values
formation enthalpy at 0 K = 1.08 eV per atom

=====

DFT (PBE) results for ScTlReAs2 after structural relaxation.

Lattice parameters (Å, degrees): 5.034 5.034 5.595 90.00 90.00 90.00
Element x y z (fractional)
Sc  0.000  0.000  0.000
Tl  0.000  0.000  0.500
Re  0.500  0.500  0.500
As  0.000  0.500  0.000
As  0.500  0.000  0.000

Calculated values
formation enthalpy at 0 K = 1.27 eV per atom

=====

DFT (PBE) results for YScRe2As after structural relaxation.

Lattice parameters (Å, degrees): 4.638 4.638 5.096 90.00 90.00 90.00
Element x y z (fractional)
Y  0.000  0.000  0.000
Sc  0.500  0.500  0.000
Re  0.000  0.500  0.500
Re  0.500  0.000  0.500
As  0.000  0.000  0.500

Calculated values
formation enthalpy at 0 K = 0.70 eV per atom

=====

DFT (PBE) results for Zr2ScReAs after structural relaxation.

Lattice parameters (Å, degrees): 5.045 5.045 4.521 90.00 90.00 90.00
Element x y z (fractional)
Zr  0.000  0.500  0.000
Zr  0.500  0.000  0.000
Sc  0.000  0.000  0.000
Re  0.000  0.000  0.500
As  0.500  0.500  0.500

Calculated values
formation enthalpy at 0 K = 1.35 eV per atom

=====

no.,total moment (Bohr magnetons per cell)
1,0.00
2,1.41
3,3.56
4,2.82
5,0.00
6,4.60
7,0.00
8,0.00